Here is crystalline ErScMnCu at its relaxed geometry from Alexandria via LeMat-Bulk. Energies are from PBE.

Unit cell a=4.759 b=4.759 c=4.759 alpha=60.00 beta=60.00 gamma=60.00
Fractional positions:
Er  0.000  0.000  0.000
Sc  0.500  0.500  0.500
Mn  0.750  0.750  0.750
Cu  0.250  0.250  0.250

Properties
**Total magnetic moment**: 2.59 μB per formula unit
**Formation energy**: 0.2 kcal/mol of atoms
**Space group**: F-43m, No. 216